VASP calculation (PBE-GGA) on an optimized crystal structure of SnPPd3.

## Properties
E above lowest polymorph, eV/atom: 0.0871
Total magnetization, Bohr magnetons per cell: 0.00
N(E_F), states/eV per atom: 0.547
Energy relative to the elements, eV per atom: -0.333

Structure (CIF):
```
data_SnPPd3
_symmetry_space_group_name_H-M 'C 1 m 1'
_symmetry_Int_Tables_number 8
_symmetry_space_group_name_Hall 'C -2y'
_cell_length_a 11.6967
_cell_length_b 8.5308
_cell_length_c 3.6546
_cell_angle_alpha 90.00
_cell_angle_beta 90.04
_cell_angle_gamma 90.00
loop_
_atom_site_label
_atom_site_type_symbol
_atom_site_fract_x
_atom_site_fract_y
_atom_site_fract_z
_atom_site_occupancy
Sn1 Sn 0.0000 0.0000 0.0000 1
Sn2 Sn 0.0009 0.5000 0.4988 1
P1 P 0.2502 0.2495 0.0003 1
Pd1 Pd 0.1249 0.2099 0.4997 1
Pd2 Pd 0.1786 0.5000 0.9994 1
Pd3 Pd 0.3234 0.0000 0.9981 1
Pd4 Pd 0.3755 0.2898 0.5002 1
```


VASP calculation (PBE-GGA) on an optimized crystal structure of La16Pr7Sm6.

## Properties
Total magnetization, Bohr magnetons per cell: 0.04
N(E_F), states/eV per atom: 1.653
Energy relative to the elements, eV per atom: 0.192

Structure (CIF):
```
data_La16Pr7Sm6
_symmetry_space_group_name_H-M 'F m -3 m'
_symmetry_Int_Tables_number 225
_symmetry_space_group_name_Hall '-F 4 2 3'
_cell_length_a 16.2104
_cell_length_b 16.2104
_cell_length_c 16.2104
_cell_angle_alpha 90.00
_cell_angle_beta 90.00
_cell_angle_gamma 90.00
loop_
_atom_site_label
_atom_site_type_symbol
_atom_site_fract_x
_atom_site_fract_y
_atom_site_fract_z
_atom_site_occupancy
La1 La 0.1212 0.1212 0.1212 1
La2 La 0.1554 0.1554 0.3446 1
Pr1 Pr 0.0000 0.0000 0.0000 1
Pr2 Pr 0.0000 0.2500 0.2500 1
Sm1 Sm 0.0000 0.0000 0.2945 1
```


VASP calculation (PBE-GGA) on an optimized crystal structure of Dy3Tm5Sc3.

## Properties
Total magnetization, Bohr magnetons per cell: 0.00
N(E_F), states/eV per atom: 1.804
Energy relative to the elements, eV per atom: 0.368

Structure (CIF):
```
data_Dy3Tm5Sc3
_symmetry_space_group_name_H-M 'P -6 2 m'
_symmetry_Int_Tables_number 189
_symmetry_space_group_name_Hall 'P -6 -2'
_cell_length_a 10.7257
_cell_length_b 10.7257
_cell_length_c 3.3526
_cell_angle_alpha 90.00
_cell_angle_beta 90.00
_cell_angle_gamma 120.00
loop_
_atom_site_label
_atom_site_type_symbol
_atom_site_fract_x
_atom_site_fract_y
_atom_site_fract_z
_atom_site_occupancy
Dy1 Dy 0.0000 0.3449 0.0000 1
Tm1 Tm 0.0000 0.8347 0.0000 1
Tm2 Tm 0.3333 0.6667 0.0000 1
Sc1 Sc 0.0000 0.5918 0.5000 1
```


VASP calculation (PBE-GGA) on an optimized crystal structure of Sr2CaSb.

## Properties
Total magnetization, Bohr magnetons per cell: 0.00
N(E_F), states/eV per atom: 0.546
Formation energy (no corrections), eV/atom: -0.504

Structure (CIF):
```
data_Sr2CaSb
_symmetry_space_group_name_H-M 'P 1 2/m 1'
_symmetry_Int_Tables_number 10
_symmetry_space_group_name_Hall '-P 2y'
_cell_length_a 4.4406
_cell_length_b 4.4440
_cell_length_c 7.7529
_cell_angle_alpha 90.00
_cell_angle_beta 90.07
_cell_angle_gamma 90.00
loop_
_atom_site_label
_atom_site_type_symbol
_atom_site_fract_x
_atom_site_fract_y
_atom_site_fract_z
_atom_site_occupancy
Sr1 Sr 0.0008 0.0000 0.2875 1
Ca1 Ca 0.5000 0.5000 0.0000 1
Sb1 Sb 0.5000 0.5000 0.5000 1
```


VASP calculation (PBE-GGA) on an optimized crystal structure of Ti2MoHPb.

## Properties
Raw total energy, eV per atom: -6.820
Total magnetization, Bohr magnetons per cell: 0.00
N(E_F), states/eV per atom: 0.976

Structure (CIF):
```
data_Ti2MoHPb
_symmetry_space_group_name_H-M 'P 4/m m m'
_symmetry_Int_Tables_number 123
_symmetry_space_group_name_Hall '-P 4 2'
_cell_length_a 4.3094
_cell_length_b 4.3094
_cell_length_c 3.9157
_cell_angle_alpha 90.00
_cell_angle_beta 90.00
_cell_angle_gamma 90.00
loop_
_atom_site_label
_atom_site_type_symbol
_atom_site_fract_x
_atom_site_fract_y
_atom_site_fract_z
_atom_site_occupancy
Ti1 Ti 0.0000 0.5000 0.0000 1
Mo1 Mo 0.0000 0.0000 0.5000 1
H1 H 0.0000 0.0000 0.0000 1
Pb1 Pb 0.5000 0.5000 0.5000 1
```


VASP calculation (PBE-GGA) on an optimized crystal structure of ZrPCI2.

## Properties
Total magnetization, Bohr magnetons per cell: 0.00
N(E_F), states/eV per atom: 0.803
Formation energy (no corrections), eV/atom: 1.111

Structure (CIF):
```
data_ZrPCI2
_symmetry_space_group_name_H-M 'P 4/m m m'
_symmetry_Int_Tables_number 123
_symmetry_space_group_name_Hall '-P 4 2'
_cell_length_a 4.9792
_cell_length_b 4.9792
_cell_length_c 4.5847
_cell_angle_alpha 90.00
_cell_angle_beta 90.00
_cell_angle_gamma 90.00
loop_
_atom_site_label
_atom_site_type_symbol
_atom_site_fract_x
_atom_site_fract_y
_atom_site_fract_z
_atom_site_occupancy
Zr1 Zr 0.0000 0.0000 0.0000 1
P1 P 0.5000 0.5000 0.0000 1
C1 C 0.0000 0.0000 0.5000 1
I1 I 0.0000 0.5000 0.5000 1
```